Run one
# AcTb3Pm4 PBE-GGA optimized geometry
data_AcTb3Pm4
_cell_length_a 3.591
_cell_length_b 5.677
_cell_length_c 13.665
_cell_angle_alpha 90.00
_cell_angle_beta 90.00
_cell_angle_gamma 90.00
_symmetry_space_group_name_H-M 'P m m 2'
_symmetry_Int_Tables_number 25
loop_
_symmetry_equiv_pos_as_xyz
'x,y,z'
'-x,-y,z'
'-x,y,z'
'x,-y,z'
loop_
_atom_site_label
_atom_site_type_symbol
_atom_site_fract_x
_atom_site_fract_y
_atom_site_fract_z
Ac1 Ac 0.000 0.000 0.000
Tb1 Tb 0.000 0.500 0.864
Tb2 Tb 0.500 0.000 0.498
Tb3 Tb 0.500 0.500 0.375
Pm1 Pm 0.000 0.000 0.267
Pm2 Pm 0.000 0.500 0.607
Pm3 Pm 0.500 0.000 0.750
Pm4 Pm 0.500 0.500 0.120
# Volume, Å³ per cell: 278.6
# Spin magnetization, μB/f.u.: 0.0


Run two
# AcTb3Pm4 PBE-GGA optimized geometry
data_AcTb3Pm4
_cell_length_a 3.541
_cell_length_b 11.931
_cell_length_c 13.212
_cell_angle_alpha 90.00
_cell_angle_beta 90.00
_cell_angle_gamma 90.00
_symmetry_space_group_name_H-M 'I m m m'
_symmetry_Int_Tables_number 71
_symmetry_space_group_name_Hall '-I 2 2'
loop_
_atom_site_label
_atom_site_type_symbol
_atom_site_fract_x
_atom_site_fract_y
_atom_site_fract_z
Ac1 Ac 0.000 0.000 0.000
Tb1 Tb 0.000 0.000 0.500
Tb2 Tb 0.000 0.500 0.258
Pm1 Pm 0.000 0.254 0.135
# Volume, Å³ per cell: 558.1
# Spin magnetization, μB/f.u.: 0.0


Stability summary: most stable run one, least stable run two.


Run one
# AcTb6Pm PBE-GGA optimized geometry
data_AcTb6Pm
_cell_length_a 5.123
_cell_length_b 5.123
_cell_length_c 10.258
_cell_angle_alpha 90.00
_cell_angle_beta 90.00
_cell_angle_gamma 90.00
_symmetry_space_group_name_H-M 'P 4/m m m'
_symmetry_Int_Tables_number 123
_symmetry_space_group_name_Hall '-P 4 2'
loop_
_atom_site_label
_atom_site_type_symbol
_atom_site_fract_x
_atom_site_fract_y
_atom_site_fract_z
Ac1 Ac 0.000 0.000 0.000
Tb1 Tb 0.000 0.500 0.256
Tb2 Tb 0.500 0.500 0.000
Tb3 Tb 0.500 0.500 0.500
Pm1 Pm 0.000 0.000 0.500
# Volume, Å³ per cell: 269.2
# Spin magnetization, μB/f.u.: 0.0


Run two
# AcTb6Pm PBE-GGA optimized geometry
data_AcTb6Pm
_cell_length_a 9.714
_cell_length_b 7.032
_cell_length_c 8.954
_cell_angle_alpha 90.00
_cell_angle_beta 102.94
_cell_angle_gamma 90.00
_symmetry_space_group_name_H-M 'C 1 2/m 1'
_symmetry_Int_Tables_number 12
loop_
_symmetry_equiv_pos_as_xyz
'x,y,z'
'-x,-y,-z'
'-x,y,-z'
'x,-y,z'
'x+1/2,y+1/2,z'
'-x+1/2,-y+1/2,-z'
'-x+1/2,y+1/2,-z'
'x+1/2,-y+1/2,z'
loop_
_atom_site_label
_atom_site_type_symbol
_atom_site_fract_x
_atom_site_fract_y
_atom_site_fract_z
Ac1 Ac 0.000 0.000 0.000
Tb1 Tb 0.123 0.500 0.920
Tb2 Tb 0.219 0.262 0.300
Pm1 Pm 0.000 0.500 0.500
# Volume, Å³ per cell: 596.1
# Spin magnetization, μB/f.u.: 0.0


Stability summary: most stable run one, least stable run two.


Run one
# AcTb4Pm7 PBE-GGA optimized geometry
data_AcTb4Pm7
_cell_length_a 12.330
_cell_length_b 6.181
_cell_length_c 12.754
_cell_angle_alpha 90.00
_cell_angle_beta 118.88
_cell_angle_gamma 90.00
_symmetry_space_group_name_H-M 'C 1 2/m 1'
_symmetry_Int_Tables_number 12
loop_
_symmetry_equiv_pos_as_xyz
'x,y,z'
'-x,-y,-z'
'-x,y,-z'
'x,-y,z'
'x+1/2,y+1/2,z'
'-x+1/2,-y+1/2,-z'
'-x+1/2,y+1/2,-z'
'x+1/2,-y+1/2,z'
loop_
_atom_site_label
_atom_site_type_symbol
_atom_site_fract_x
_atom_site_fract_y
_atom_site_fract_z
Ac1 Ac 0.000 0.000 0.000
Tb1 Tb 0.131 0.500 0.776
Tb2 Tb 0.247 0.500 0.319
Pm1 Pm 0.000 0.500 0.000
Pm2 Pm 0.056 0.000 0.338
Pm3 Pm 0.129 0.500 0.504
Pm4 Pm 0.215 0.000 0.918
# Volume, Å³ per cell: 851.1
# Spin magnetization, μB/f.u.: 0.1


Run two
# AcTb4Pm7 PBE-GGA optimized geometry
data_AcTb4Pm7
_cell_length_a 6.371
_cell_length_b 7.357
_cell_length_c 9.081
_cell_angle_alpha 90.06
_cell_angle_beta 103.64
_cell_angle_gamma 90.01
_symmetry_space_group_name_H-M 'P -1'
_symmetry_Int_Tables_number 2
loop_
_symmetry_equiv_pos_as_xyz
'x,y,z'
'-x,-y,-z'
loop_
_atom_site_label
_atom_site_type_symbol
_atom_site_fract_x
_atom_site_fract_y
_atom_site_fract_z
Ac1 Ac 0.000 0.000 0.000
Tb1 Tb 0.218 0.500 0.665
Tb2 Tb 0.280 0.256 0.336
Pm1 Pm 0.000 0.500 0.000
Pm2 Pm 0.225 0.000 0.662
Pm3 Pm 0.282 0.746 0.337
Pm4 Pm 0.500 0.255 0.001
# Volume, Å³ per cell: 413.6
# Spin magnetization, μB/f.u.: 0.0


Stability summary: most stable run two, least stable run one.


Run one
# AcTb4Pm2 PBE-GGA optimized geometry
data_AcTb4Pm2
_cell_length_a 6.942
_cell_length_b 8.647
_cell_length_c 9.428
_cell_angle_alpha 65.67
_cell_angle_beta 71.54
_cell_angle_gamma 76.80
_symmetry_space_group_name_H-M 'P 1'
_symmetry_Int_Tables_number 1
loop_
_symmetry_equiv_pos_as_xyz
'x,y,z'
loop_
_atom_site_label
_atom_site_type_symbol
_atom_site_fract_x
_atom_site_fract_y
_atom_site_fract_z
Ac1 Ac 0.000 0.000 0.000
Ac2 Ac 0.471 0.894 0.137
Tb1 Tb 0.038 0.187 0.276
Tb2 Tb 0.287 0.139 0.573
Tb3 Tb 0.433 0.709 0.863
Tb4 Tb 0.564 0.287 0.156
Tb5 Tb 0.617 0.467 0.416
Tb6 Tb 0.716 0.852 0.443
Tb7 Tb 0.754 0.044 0.693
Tb8 Tb 0.907 0.606 0.984
Pm1 Pm 0.134 0.558 0.299
Pm2 Pm 0.186 0.756 0.564
Pm3 Pm 0.337 0.337 0.839
Pm4 Pm 0.853 0.425 0.720
# Volume, Å³ per cell: 486.0
# Spin magnetization, μB/f.u.: 0.0


Run two
# AcTb4Pm2 PBE-GGA optimized geometry
data_AcTb4Pm2
_cell_length_a 8.668
_cell_length_b 8.668
_cell_length_c 6.610
_cell_angle_alpha 90.00
_cell_angle_beta 90.00
_cell_angle_gamma 90.00
_symmetry_space_group_name_H-M 'I 4/m m m'
_symmetry_Int_Tables_number 139
_symmetry_space_group_name_Hall '-I 4 2'
loop_
_atom_site_label
_atom_site_type_symbol
_atom_site_fract_x
_atom_site_fract_y
_atom_site_fract_z
Ac1 Ac 0.000 0.000 0.000
Tb1 Tb 0.197 0.197 0.500
Pm1 Pm 0.000 0.500 0.250
# Volume, Å³ per cell: 496.6
# Spin magnetization, μB/f.u.: 0.0


Stability summary: most stable run one, least stable run two.


Run one
# Ac2PmTe PBE-GGA optimized geometry
data_Ac2PmTe
_cell_length_a 8.390
_cell_length_b 8.390
_cell_length_c 8.390
_cell_angle_alpha 90.00
_cell_angle_beta 90.00
_cell_angle_gamma 90.00
_symmetry_space_group_name_H-M 'F m -3 m'
_symmetry_Int_Tables_number 225
_symmetry_space_group_name_Hall '-F 4 2 3'
loop_
_atom_site_label
_atom_site_type_symbol
_atom_site_fract_x
_atom_site_fract_y
_atom_site_fract_z
Ac1 Ac 0.250 0.250 0.250
Pm1 Pm 0.000 0.000 0.000
Te1 Te 0.000 0.000 0.500
# Volume, Å³ per cell: 590.7
# Spin magnetization, μB/f.u.: 0.0


Run two
# Ac2PmTe PBE-GGA optimized geometry
data_Ac2PmTe
_cell_length_a 5.472
_cell_length_b 5.472
_cell_length_c 4.671
_cell_angle_alpha 90.00
_cell_angle_beta 90.00
_cell_angle_gamma 90.00
_symmetry_space_group_name_H-M 'P 4/m m m'
_symmetry_Int_Tables_number 123
_symmetry_space_group_name_Hall '-P 4 2'
loop_
_atom_site_label
_atom_site_type_symbol
_atom_site_fract_x
_atom_site_fract_y
_atom_site_fract_z
Ac1 Ac 0.000 0.500 0.000
Pm1 Pm 0.000 0.000 0.500
Te1 Te 0.500 0.500 0.500
# Volume, Å³ per cell: 139.8
# Spin magnetization, μB/f.u.: 0.0


Stability summary: most stable run two, least stable run one.


Run one
# Ac3PmTe6 PBE-GGA optimized geometry
data_Ac3PmTe6
_cell_length_a 14.4854
_cell_length_b 14.4854
_cell_length_c 13.6208
_cell_angle_alpha 90.00
_cell_angle_beta 90.00
_cell_angle_gamma 120.00
_symmetry_space_group_name_H-M 'R -3'
_symmetry_Int_Tables_number 148
_symmetry_space_group_name_Hall '-R 3'
loop_
_atom_site_label
_atom_site_type_symbol
_atom_site_fract_x
_atom_site_fract_y
_atom_site_fract_z
Ac1 Ac 0.0500 0.6094 0.3212
Pm1 Pm 0.0000 0.0000 0.0000
Pm2 Pm 0.0000 0.0000 0.5000
Te1 Te 0.0361 0.8283 0.3920
Te2 Te 0.0509 0.8448 0.8843
# Volume, Å³ per cell: 2475.1
# Spin magnetization, μB/f.u.: 0.0


Run two
# Ac3PmTe6 PBE-GGA optimized geometry
data_Ac3PmTe6
_cell_length_a 13.143
_cell_length_b 4.666
_cell_length_c 13.610
_cell_angle_alpha 90.00
_cell_angle_beta 108.29
_cell_angle_gamma 90.00
_symmetry_space_group_name_H-M 'P 1 21/m 1'
_symmetry_Int_Tables_number 11
loop_
_symmetry_equiv_pos_as_xyz
'x,y,z'
'-x,-y,-z'
'-x,y+1/2,-z'
'x,-y+1/2,z'
loop_
_atom_site_label
_atom_site_type_symbol
_atom_site_fract_x
_atom_site_fract_y
_atom_site_fract_z
Ac1 Ac 0.083 0.250 0.171
Ac2 Ac 0.185 0.750 0.507
Ac3 Ac 0.341 0.250 0.923
Pm1 Pm 0.460 0.250 0.314
Te1 Te 0.016 0.250 0.381
Te2 Te 0.095 0.250 0.929
Te3 Te 0.264 0.750 0.290
Te4 Te 0.321 0.750 0.751
Te5 Te 0.396 0.250 0.537
Te6 Te 0.416 0.750 0.109
# Volume, Å³ per cell: 792.4
# Spin magnetization, μB/f.u.: 0.0


Stability summary: most stable run one, least stable run two.


Run one
# AcPmTe3 PBE-GGA optimized geometry
data_AcPmTe3
_cell_length_a 8.542
_cell_length_b 4.641
_cell_length_c 17.810
_cell_angle_alpha 90.00
_cell_angle_beta 90.00
_cell_angle_gamma 90.00
_symmetry_space_group_name_H-M 'P n m a'
_symmetry_Int_Tables_number 62
loop_
_symmetry_equiv_pos_as_xyz
'x,y,z'
'-x,-y,-z'
'-x+1/2,-y,z+1/2'
'x+1/2,y,-z+1/2'
'x+1/2,-y+1/2,-z+1/2'
'-x+1/2,y+1/2,z+1/2'
'-x,y+1/2,-z'
'x,-y+1/2,z'
loop_
_atom_site_label
_atom_site_type_symbol
_atom_site_fract_x
_atom_site_fract_y
_atom_site_fract_z
Ac1 Ac 0.137 0.250 0.200
Pm1 Pm 0.229 0.750 0.458
Te1 Te 0.007 0.250 0.395
Te2 Te 0.121 0.750 0.060
Te3 Te 0.155 0.250 0.785
# Volume, Å³ per cell: 706.0
# Spin magnetization, μB/f.u.: 0.0


Run two
# AcPmTe3 PBE-GGA optimized geometry
data_AcPmTe3
_cell_length_a 4.608
_cell_length_b 7.727
_cell_length_c 10.126
_cell_angle_alpha 90.00
_cell_angle_beta 90.00
_cell_angle_gamma 90.00
_symmetry_space_group_name_H-M 'P m m n'
_symmetry_Int_Tables_number 59
loop_
_symmetry_equiv_pos_as_xyz
'x,y,z'
'-x,-y,-z'
'-x+1/2,-y+1/2,z'
'x+1/2,y+1/2,-z'
'x+1/2,-y,-z'
'-x+1/2,y,z'
'-x,y+1/2,-z'
'x,-y+1/2,z'
loop_
_atom_site_label
_atom_site_type_symbol
_atom_site_fract_x
_atom_site_fract_y
_atom_site_fract_z
Ac1 Ac 0.250 0.250 0.151
Pm1 Pm 0.250 0.750 0.402
Te1 Te 0.250 0.518 0.665
Te2 Te 0.250 0.750 0.077
# Volume, Å³ per cell: 360.6
# Spin magnetization, μB/f.u.: 0.0


Stability summary: most stable run one, least stable run two.


Run one
# Ac2PmTe3 PBE-GGA optimized geometry
data_Ac2PmTe3
_cell_length_a 8.073
_cell_length_b 8.090
_cell_length_c 14.507
_cell_angle_alpha 100.86
_cell_angle_beta 100.83
_cell_angle_gamma 108.68
_symmetry_space_group_name_H-M 'P -1'
_symmetry_Int_Tables_number 2
loop_
_symmetry_equiv_pos_as_xyz
'x,y,z'
'-x,-y,-z'
loop_
_atom_site_label
_atom_site_type_symbol
_atom_site_fract_x
_atom_site_fract_y
_atom_site_fract_z
Ac1 Ac 0.044 0.294 0.088
Ac2 Ac 0.123 0.873 0.246
Ac3 Ac 0.206 0.456 0.412
Ac4 Ac 0.373 0.623 0.747
Pm1 Pm 0.293 0.042 0.584
Pm2 Pm 0.458 0.207 0.916
Te1 Te 0.038 0.276 0.578
Te2 Te 0.139 0.889 0.750
Te3 Te 0.224 0.462 0.922
Te4 Te 0.302 0.040 0.078
Te5 Te 0.389 0.639 0.250
Te6 Te 0.460 0.198 0.422
# Volume, Å³ per cell: 849.6
# Spin magnetization, μB/f.u.: 0.0


Run two
# Ac2PmTe3 PBE-GGA optimized geometry
data_Ac2PmTe3
_cell_length_a 14.664
_cell_length_b 6.583
_cell_length_c 9.302
_cell_angle_alpha 90.00
_cell_angle_beta 108.49
_cell_angle_gamma 90.00
_symmetry_space_group_name_H-M 'C 1 2/c 1'
_symmetry_Int_Tables_number 15
loop_
_symmetry_equiv_pos_as_xyz
'x,y,z'
'-x,-y,-z'
'-x,y,-z+1/2'
'x,-y,z+1/2'
'x+1/2,y+1/2,z'
'-x+1/2,-y+1/2,-z'
'-x+1/2,y+1/2,-z+1/2'
'x+1/2,-y+1/2,z+1/2'
loop_
_atom_site_label
_atom_site_type_symbol
_atom_site_fract_x
_atom_site_fract_y
_atom_site_fract_z
Ac1 Ac 0.170 0.000 0.085
Pm1 Pm 0.000 0.499 0.250
Te1 Te 0.000 0.001 0.750
Te2 Te 0.157 0.500 0.079
# Volume, Å³ per cell: 851.6
# Spin magnetization, μB/f.u.: 0.0


Stability summary: most stable run one, least stable run two.


Run one
# AcPmTh2 PBE-GGA optimized geometry
data_AcPmTh2
_cell_length_a 4.332
_cell_length_b 4.332
_cell_length_c 7.578
_cell_angle_alpha 90.00
_cell_angle_beta 90.00
_cell_angle_gamma 90.00
_symmetry_space_group_name_H-M 'P 4/m m m'
_symmetry_Int_Tables_number 123
_symmetry_space_group_name_Hall '-P 4 2'
loop_
_atom_site_label
_atom_site_type_symbol
_atom_site_fract_x
_atom_site_fract_y
_atom_site_fract_z
Ac1 Ac 0.000 0.000 0.000
Pm1 Pm 0.000 0.000 0.500
Th1 Th 0.500 0.500 0.280
# Volume, Å³ per cell: 142.2
# Spin magnetization, μB/f.u.: 0.0


Run two
# AcPmTh2 PBE-GGA optimized geometry
data_AcPmTh2
_cell_length_a 3.6038
_cell_length_b 3.6038
_cell_length_c 38.5920
_cell_angle_alpha 90.00
_cell_angle_beta 90.00
_cell_angle_gamma 120.00
_symmetry_space_group_name_H-M 'R -3 m'
_symmetry_Int_Tables_number 166
_symmetry_space_group_name_Hall '-R 3 2"'
loop_
_atom_site_label
_atom_site_type_symbol
_atom_site_fract_x
_atom_site_fract_y
_atom_site_fract_z
Ac1 Ac 0.0000 0.0000 0.0000
Pm1 Pm 0.0000 0.0000 0.5000
Th1 Th 0.0000 0.0000 0.0905
# Volume, Å³ per cell: 434.1
# Spin magnetization, μB/f.u.: 0.0


Run three
# AcPmTh2 PBE-GGA optimized geometry
data_AcPmTh2
_cell_length_a 3.6815
_cell_length_b 3.6815
_cell_length_c 36.1451
_cell_angle_alpha 90.00
_cell_angle_beta 90.00
_cell_angle_gamma 120.00
_symmetry_space_group_name_H-M 'R 3 m'
_symmetry_Int_Tables_number 160
_symmetry_space_group_name_Hall 'R 3 -2"'
loop_
_atom_site_label
_atom_site_type_symbol
_atom_site_fract_x
_atom_site_fract_y
_atom_site_fract_z
Ac1 Ac 0.0000 0.0000 0.0000
Pm1 Pm 0.0000 0.0000 0.1690
Th1 Th 0.0000 0.0000 0.4202
Th2 Th 0.0000 0.0000 0.5826
# Volume, Å³ per cell: 424.3
# Spin magnetization, μB/f.u.: 0.0


Run four
# AcPmTh2 PBE-GGA optimized geometry
data_AcPmTh2
_cell_length_a 8.278
_cell_length_b 8.278
_cell_length_c 8.278
_cell_angle_alpha 90.00
_cell_angle_beta 90.00
_cell_angle_gamma 90.00
_symmetry_space_group_name_H-M 'F m -3 m'
_symmetry_Int_Tables_number 225
_symmetry_space_group_name_Hall '-F 4 2 3'
loop_
_atom_site_label
_atom_site_type_symbol
_atom_site_fract_x
_atom_site_fract_y
_atom_site_fract_z
Ac1 Ac 0.000 0.000 0.000
Pm1 Pm 0.000 0.000 0.500
Th1 Th 0.250 0.250 0.250
# Volume, Å³ per cell: 567.3
# Spin magnetization, μB/f.u.: 0.0


Stability summary: most stable run three, least stable run four.


Run one
# AcPm4Th PBE-GGA optimized geometry
data_AcPm4Th
_cell_length_a 3.686
_cell_length_b 6.354
_cell_length_c 9.836
_cell_angle_alpha 77.98
_cell_angle_beta 79.24
_cell_angle_gamma 73.45
_symmetry_space_group_name_H-M 'P -1'
_symmetry_Int_Tables_number 2
loop_
_symmetry_equiv_pos_as_xyz
'x,y,z'
'-x,-y,-z'
loop_
_atom_site_label
_atom_site_type_symbol
_atom_site_fract_x
_atom_site_fract_y
_atom_site_fract_z
Ac1 Ac 0.000 0.000 0.000
Pm1 Pm 0.335 0.988 0.345
Pm2 Pm 0.337 0.510 0.817
Th1 Th 0.000 0.500 0.500
# Volume, Å³ per cell: 214.0
# Spin magnetization, μB/f.u.: 0.0


Run two
# AcPm4Th PBE-GGA optimized geometry
data_AcPm4Th
_cell_length_a 9.478
_cell_length_b 9.478
_cell_length_c 9.478
_cell_angle_alpha 90.00
_cell_angle_beta 90.00
_cell_angle_gamma 90.00
_symmetry_space_group_name_H-M 'F -4 3 m'
_symmetry_Int_Tables_number 216
_symmetry_space_group_name_Hall 'F -4 2 3'
loop_
_atom_site_label
_atom_site_type_symbol
_atom_site_fract_x
_atom_site_fract_y
_atom_site_fract_z
Ac1 Ac 0.000 0.000 0.000
Pm1 Pm 0.124 0.124 0.624
Th1 Th 0.250 0.250 0.250
# Volume, Å³ per cell: 851.5
# Spin magnetization, μB/f.u.: 0.6


Stability summary: most stable run one, least stable run two.